Compound: Na3Tm3InTe8
Source: the Alexandria database
Functional: GGA-PBE
Structure: optimized geometry

Cell lengths 8.5833, 8.6037, 9.2192 Å; angles 117.93, 90.00, 119.92 degrees
Fractional coordinates of all 15 atoms:
Te: 0.7415 0.9846 0.7280
Te: 0.2433 0.4867 0.7280
Te: 0.2431 0.9846 0.7280
Te: 0.2585 0.0154 0.2720
Te: 0.7569 0.0154 0.2720
Te: 0.7567 0.5133 0.2720
Te: 0.2569 0.5137 0.2705
Te: 0.7431 0.4863 0.7295
Tm: 0.5000 0.0000 0.5000
Tm: 0.5000 0.5000 0.5000
Tm: 0.0000 0.5000 0.5000
In: 0.0000 0.0000 0.5000
Na: 0.5000 0.5000 0.0000
Na: 0.0000 0.5000 0.0000
Na: 0.0000 0.0000 0.0000

* space-group type: C2/m, No. 12
* V: 33.1 Å³ per atom
* total DFT energy (no corrections): -4.038 eV per atom